Here is an optimized crystal structure of Cs2K4Rb3 from Alexandria via LeMat-Bulk. Energies are from GGA-PBE.

Values from the calculation:
Distance to the lowest polymorph of the same formula = 3 meV per atom
D(E_F) = 0.837 states/eV/atom
Magnetization = 0.00 μB per formula unit
Space group = C2/c (15)

abc: 8.366 14.151 14.151
angles: 70.72 95.73 95.73
Atoms (fractional coordinates):
Rb1 0.919 0.964 0.723
Rb2 0.250 0.615 0.385
Rb3 0.081 0.036 0.277
Rb4 0.750 0.385 0.615
Rb5 0.419 0.723 0.964
Rb6 0.581 0.277 0.036
Cs1 0.648 0.160 0.402
Cs2 0.148 0.402 0.160
Cs3 0.852 0.598 0.840
Cs4 0.352 0.840 0.598
K1 0.798 0.743 0.465
K2 0.024 0.176 0.922
K3 0.476 0.078 0.824
K4 0.298 0.465 0.743
K5 0.976 0.824 0.078
K6 0.702 0.535 0.257
K7 0.202 0.257 0.535
K8 0.524 0.922 0.176